1.
First-principles (PBE) data for Ce3ZrPt12 after structural relaxation, as listed in Alexandria via LeMat-Bulk.

Its electronic total energy is -7.17 eV/atom. For the calculated volume, the calculation gives 284.3 Å³ per cell. For the density of states at the Fermi level, the calculation gives 0.49 states/eV/atom. As for the total magnetic moment: 0.727 μB/cell. As for the calculated formation energy: -991 meV per atom.

It has space group P4/mmm (No. 123), with a = 4.1415 Å, b = 4.1415 Å, c = 16.5783 Å, α = 90.00°, β = 90.00° and γ = 90.00°. The distinct sites, in fractional coordinates, are Ce at (0.0000, 0.0000, 0.0000), Ce at (0.0000, 0.0000, 0.2527), Zr at (0.0000, 0.0000, 0.5000), Pt at (0.0000, 0.5000, 0.1268), Pt at (0.0000, 0.5000, 0.3813), Pt at (0.5000, 0.5000, 0.0000), Pt at (0.5000, 0.5000, 0.2550) and Pt at (0.5000, 0.5000, 0.5000).

---

2.
First-principles (PBE) data for CePu3 after structural relaxation, as listed in Alexandria via LeMat-Bulk.

Its electronic total energy is -12.11 eV/atom. For the calculated volume, the calculation gives 193.2 Å³ per cell. For the density of states at the Fermi level, the calculation gives 3.79 states/eV/atom. As for the total magnetic moment: 9.923 μB/cell. As for the calculated formation energy: 119 meV per atom.

It has space group I4/mmm (No. 139), with a = 4.5953 Å, b = 4.5953 Å, c = 9.1475 Å, α = 90.00°, β = 90.00° and γ = 90.00°. The distinct sites, in fractional coordinates, are Ce at (0.0000, 0.0000, 0.0000), Pu at (0.0000, 0.0000, 0.5000) and Pu at (0.0000, 0.5000, 0.2500).